Crystalline Pr8Mg2In at its relaxed geometry. Source: the Alexandria database, functional PBE.

abc: 5.0573 8.2463 9.3240
angles: 107.89 105.74 90.00
Last column: nearest neighbours and their distance in Å.
Fractional positions:
1 Mg 0.7732 0.3668 0.5464  10 Pr 3.45-3.80, 2 Mg 3.62
2 Pr 0.4080 0.5552 0.8159  3 Mg 3.50-3.51, 1 In 3.51, 8 Pr 3.53-3.81
3 Pr 0.3197 0.0692 0.6395  3 Mg 3.45-3.80, 8 Pr 3.45-3.81, 1 In 3.46
4 Pr 0.1364 0.1909 0.2728  3 Mg 3.49-3.50, 2 In 3.52, 7 Pr 3.53-3.73
5 Pr 0.5920 0.4448 0.1841  3 Mg 3.50-3.51, 1 In 3.51, 8 Pr 3.53-3.81
6 Mg 0.2268 0.6332 0.4536  10 Pr 3.45-3.80, 2 Mg 3.62
7 Pr 0.8636 0.8091 0.7272  3 Mg 3.49-3.50, 2 In 3.52, 7 Pr 3.53-3.73
8 Pr 0.9470 0.2693 0.8940  9 Pr 3.45-3.67, 1 Mg 3.46, 2 In 3.69
9 Pr 0.0530 0.7307 0.1060  9 Pr 3.45-3.67, 1 Mg 3.46, 2 In 3.69
10 In 0.5000 0.0000 0.0000  12 Pr 3.46-3.69
11 Pr 0.6803 0.9308 0.3605  3 Mg 3.45-3.80, 8 Pr 3.45-3.81, 1 In 3.46

Values from the calculation:
Total DFT energy (no corrections) (eV/atom): -4.114
Formation enthalpy at 0 K (eV/atom): -0.10